Entry 1:
Below is a relaxed BiPdN2O crystal, with properties calculated at the PBE level.

The structure belongs to space group P4/mmm (No. 123); the cell edges are 3.981, 3.981 and 4.135 Å and the angles 90.00°, 90.00° and 90.00°. Symmetry generates all atoms from Bi at (0.000, 0.000, 0.000), Pd at (0.500, 0.500, 0.500), N at (0.000, 0.500, 0.500) and O at (0.500, 0.500, 0.000).

Its total moment is 1.3 Bohr magnetons per cell. For the formation energy from raw total energies, the calculation gives 927.4 meV/atom.

Entry 2:
Below is a relaxed BaCa4Ga crystal, with properties calculated at the PBE level.

The structure belongs to space group I4/mcm (No. 140); the cell edges are 7.318, 7.318 and 19.788 Å and the angles 90.00°, 90.00° and 90.00°. Symmetry generates all atoms from Ba at (0.000, 0.000, 0.000), Ca at (0.180, 0.320, 0.168) and Ga at (0.000, 0.000, 0.250).

Its total moment is 0.0 Bohr magnetons per cell. The formation energy comes out at -0.0600 eV/atom.

Entry 3:
Below is a relaxed Ho4OsPt crystal, with properties calculated at the PBE level.

The structure belongs to space group C2/c (No. 15); the cell edges are 8.967, 12.910 and 6.288 Å and the angles 90.00°, 123.32° and 90.00°. Symmetry generates all atoms from Ho at (0.125, 0.174, 0.094), Ho at (0.201, 0.437, 0.273), Os at (0.000, 0.001, 0.750) and Pt at (0.000, 0.363, 0.750).

Its total moment is 0.0 Bohr magnetons per cell. The energy above the lowest structure with this stoichiometry comes out at 0.0000 eV per atom. The formation energy comes out at -0.6276 eV/atom.

Entry 4:
Below is a relaxed Sc2In2Os crystal, with properties calculated at the PBE level.

The structure belongs to space group I4/mmm (No. 139); the cell edges are 3.195, 3.195 and 20.928 Å and the angles 90.00°, 90.00° and 90.00°. Symmetry generates all atoms from Sc at (0.000, 0.000, 0.075), In at (0.000, 0.000, 0.310) and Os at (0.000, 0.000, 0.500).

Its total moment is 0.0 Bohr magnetons per cell. The energy above the lowest structure with this stoichiometry comes out at 0.0000 eV per atom. The formation energy comes out at -0.3578 eV/atom.

Entry 5:
Below is a relaxed CaZnP2 crystal, with properties calculated at the PBE level.

The structure belongs to space group P4/mmm (No. 123); the cell edges are 4.313, 4.313 and 3.874 Å and the angles 90.00°, 90.00° and 90.00°. Symmetry generates all atoms from Ca at (0.000, 0.000, 0.000), Zn at (0.500, 0.500, 0.000) and P at (0.000, 0.500, 0.500).

Its total moment is 0.0 Bohr magnetons per cell. The formation energy comes out at -0.2515 eV/atom.

Entry 6:
Below is a relaxed Ca4SnN crystal, with properties calculated at the PBE level.

The structure belongs to space group P4/mmm (No. 123); the cell edges are 4.689, 4.689 and 8.132 Å and the angles 90.00°, 90.00° and 90.00°. Symmetry generates all atoms from Ca at (0.000, 0.000, 0.195), Ca at (0.000, 0.500, 0.500), Sn at (0.500, 0.500, 0.000) and N at (0.000, 0.000, 0.500).

Its total moment is 0.0 Bohr magnetons per cell. For the formation energy from raw total energies, the calculation gives -350.2 meV/atom.